# LiH2IO2

A relaxed LiH2IO2 crystal (GGA-PBE, Alexandria via LeMat-Bulk).

Cell lengths 4.981, 4.699, 7.351 Å; angles 90.00, 100.70, 90.00 degrees
Fractional coordinates of all 12 atoms:
Li1 0.098 0.250 0.011
Li2 0.902 0.750 0.989
H1 0.026 0.250 0.265
H2 0.037 0.750 0.266
H3 0.963 0.250 0.734
H4 0.974 0.750 0.735
I1 0.471 0.250 0.756
I2 0.529 0.750 0.244
O1 0.024 0.503 0.223
O2 0.024 0.997 0.223
O3 0.976 0.003 0.777
O4 0.976 0.497 0.777

Output
Total magnetic moment ... 0.00 μB/cell
Space-group type ... No. 11
V ... 169.1 Å³/cell
DOS at the Fermi energy ... 3.55 states/eV per cell
Electronic total energy ... -47.63 eV/cell
Theoretical density ... 3298 kg/m3



# SmAg2Au2

A relaxed SmAg2Au2 crystal (GGA-PBE, Alexandria via LeMat-Bulk).

Cell lengths 3.992, 3.992, 7.386 Å; angles 105.54, 105.54, 90.02 degrees
Fractional coordinates of all 5 atoms:
Sm1 0.000 0.000 0.000
Ag1 0.250 0.750 0.500
Ag2 0.750 0.250 0.500
Au1 0.399 0.399 0.798
Au2 0.601 0.601 0.202

Output
Total magnetic moment ... 0.00 μB/cell
Space-group type ... No. 12
V ... 108.9 Å³/cell
DOS at the Fermi energy ... 1.90 states/eV per cell
Formation energy ... -392 meV per atom
Theoretical density ... 11585 kg/m3



# RePbAu2

A relaxed RePbAu2 crystal (GGA-PBE, Alexandria via LeMat-Bulk).

Cell lengths 10.002, 10.002, 10.002 Å; angles 17.41, 17.41, 17.41 degrees
Fractional coordinates of all 4 atoms:
Re1 0.000 0.000 0.000
Pb1 0.753 0.753 0.753
Au1 0.261 0.261 0.261
Au2 0.516 0.516 0.516

Output
Total magnetic moment ... 0.00 μB/cell
Space-group type ... No. 160
V ... 78.2 Å³/cell
DOS at the Fermi energy ... 3.20 states/eV per cell
Formation energy ... 594 meV per atom
Theoretical density ... 16723 kg/m3



# ZnAsPSe2

A relaxed ZnAsPSe2 crystal (GGA-PBE, Alexandria via LeMat-Bulk).

Cell lengths 4.923, 4.923, 4.700 Å; angles 90.00, 90.00, 90.00 degrees
Fractional coordinates of all 5 atoms:
Zn1 0.000 0.000 0.000
As1 0.500 0.500 0.000
P1 0.500 0.500 0.500
Se1 0.000 0.500 0.500
Se2 0.500 0.000 0.500

Output
Total magnetic moment ... 0.00 μB/cell
Space-group type ... No. 123
V ... 113.9 Å³/cell
Distance to the lowest polymorph of the same formula ... 0 meV/atom
Energy relative to the elements, uncorrected ... 280.0 kJ/mol of formula units
DOS at the Fermi energy ... 5.98 states/eV per cell
Theoretical density ... 4798 kg/m3



# PmPaGa5

A relaxed PmPaGa5 crystal (GGA-PBE, Alexandria via LeMat-Bulk).

Cell lengths 4.882, 4.882, 6.690 Å; angles 90.00, 90.00, 90.00 degrees
Fractional coordinates of all 7 atoms:
Pm1 0.000 0.000 0.000
Pa1 0.500 0.500 0.500
Ga1 0.000 0.500 0.260
Ga2 0.000 0.500 0.740
Ga3 0.500 0.000 0.260
Ga4 0.500 0.000 0.740
Ga5 0.500 0.500 0.000

Output
Total magnetic moment ... 0.00 μB/cell
Space-group type ... No. 123
V ... 159.4 Å³/cell
DOS at the Fermi energy ... 4.62 states/eV per cell
Formation energy ... -118 meV per atom
Theoretical density ... 7547 kg/m3



# AcTmAgAu

A relaxed AcTmAgAu crystal (GGA-PBE, Alexandria via LeMat-Bulk).

Cell lengths 5.335, 5.335, 5.335 Å; angles 60.00, 60.00, 60.00 degrees
Fractional coordinates of all 4 atoms:
Ac1 0.000 0.000 0.000
Tm1 0.500 0.500 0.500
Ag1 0.250 0.250 0.250
Au1 0.750 0.750 0.750

Output
Total magnetic moment ... 0.00 μB/cell
Space-group type ... No. 216
V ... 107.4 Å³/cell
DOS at the Fermi energy ... 3.57 states/eV per cell
Formation energy ... -486 meV per atom
Theoretical density ... 10836 kg/m3



# TaCu2Rh2

A relaxed TaCu2Rh2 crystal (GGA-PBE, Alexandria via LeMat-Bulk).

Cell lengths 6.934, 6.934, 3.012 Å; angles 90.00, 90.00, 90.00 degrees
Fractional coordinates of all 10 atoms:
Ta1 0.000 0.000 0.000
Ta2 0.500 0.500 0.000
Cu1 0.157 0.343 0.500
Cu2 0.343 0.843 0.500
Cu3 0.657 0.157 0.500
Cu4 0.843 0.657 0.500
Rh1 0.141 0.641 0.000
Rh2 0.359 0.141 0.000
Rh3 0.641 0.859 0.000
Rh4 0.859 0.359 0.000

Output
Total magnetic moment ... 0.00 μB/cell
Space-group type ... No. 127
V ... 144.8 Å³/cell
Distance to the lowest polymorph of the same formula ... 147 meV/atom
DOS at the Fermi energy ... 5.46 states/eV per cell
Formation energy ... -9 meV per atom
Theoretical density ... 11785 kg/m3



# CsNb2Rh2

A relaxed CsNb2Rh2 crystal (GGA-PBE, Alexandria via LeMat-Bulk).

Cell lengths 8.239, 8.239, 2.951 Å; angles 90.00, 90.00, 90.00 degrees
Fractional coordinates of all 10 atoms:
Cs1 0.000 0.000 0.000
Cs2 0.500 0.500 0.000
Nb1 0.143 0.357 0.000
Nb2 0.357 0.857 0.000
Nb3 0.643 0.143 0.000
Nb4 0.857 0.643 0.000
Rh1 0.138 0.638 0.500
Rh2 0.362 0.138 0.500
Rh3 0.638 0.862 0.500
Rh4 0.862 0.362 0.500

Output
Total magnetic moment ... 0.00 μB/cell
Space-group type ... No. 127
V ... 200.3 Å³/cell
Distance to the lowest polymorph of the same formula ... 0 meV/atom
DOS at the Fermi energy ... 6.98 states/eV per cell
Formation energy ... 391 meV per atom
Theoretical density ... 8698 kg/m3



# TmLuScCd

A relaxed TmLuScCd crystal (GGA-PBE, Alexandria via LeMat-Bulk).

Cell lengths 5.272, 5.272, 5.272 Å; angles 60.00, 60.00, 60.00 degrees
Fractional coordinates of all 4 atoms:
Tm1 0.000 0.000 0.000
Lu1 0.500 0.500 0.500
Sc1 0.750 0.750 0.750
Cd1 0.250 0.250 0.250

Output
Total magnetic moment ... 0.06 μB/cell
Space-group type ... No. 216
V ... 103.6 Å³/cell
DOS at the Fermi energy ... 5.41 states/eV per cell
Formation energy ... -26 meV per atom
Theoretical density ... 8032 kg/m3



# KThCu2I8

A relaxed KThCu2I8 crystal (GGA-PBE, Alexandria via LeMat-Bulk).

Cell lengths 7.545, 7.545, 10.315 Å; angles 90.65, 90.65, 67.36 degrees
Fractional coordinates of all 12 atoms:
K1 0.000 0.000 0.000
Th1 0.000 0.000 0.500
Cu1 0.350 0.350 0.740
Cu2 0.650 0.650 0.260
I1 0.244 0.244 0.519
I2 0.250 0.735 0.715
I3 0.265 0.750 0.285
I4 0.278 0.278 0.964
I5 0.722 0.722 0.036
I6 0.735 0.250 0.715
I7 0.750 0.265 0.285
I8 0.756 0.756 0.481

Output
Total magnetic moment ... 0.71 μB/cell
Space-group type ... No. 12
V ... 541.9 Å³/cell
Energy relative to the elements, uncorrected ... -864.9 kJ/mol of formula units
DOS at the Fermi energy ... 16.68 states/eV per cell
Theoretical density ... 4331 kg/m3



# Pa3Si4Au

A relaxed Pa3Si4Au crystal (GGA-PBE, Alexandria via LeMat-Bulk).

Cell lengths 7.929, 7.929, 7.929 Å; angles 149.61, 135.53, 54.81 degrees
Fractional coordinates of all 8 atoms:
Pa1 0.000 0.000 0.000
Pa2 0.314 0.814 0.500
Pa3 0.686 0.186 0.500
Si1 0.072 0.373 0.699
Si2 0.326 0.627 0.699
Si3 0.674 0.373 0.301
Si4 0.928 0.627 0.301
Au1 0.500 0.500 0.000

Output
Total magnetic moment ... 0.00 μB/cell
Space-group type ... No. 71
V ... 175.5 Å³/cell
Energy relative to the elements, uncorrected ... -227.9 kJ/mol of formula units
DOS at the Fermi energy ... 7.90 states/eV per cell
Theoretical density ... 9484 kg/m3



# CuHgRh2

A relaxed CuHgRh2 crystal (GGA-PBE, Alexandria via LeMat-Bulk).

Cell lengths 4.715, 4.715, 2.932 Å; angles 90.00, 90.00, 106.99 degrees
Fractional coordinates of all 4 atoms:
Cu1 0.000 0.000 0.000
Hg1 0.500 0.500 0.000
Rh1 0.000 0.500 0.500
Rh2 0.500 0.000 0.500

Output
Total magnetic moment ... 0.93 μB/cell
Space-group type ... No. 65
V ... 62.3 Å³/cell
DOS at the Fermi energy ... 6.74 states/eV per cell
Formation energy ... 272 meV per atom
Theoretical density ... 12518 kg/m3